Material: Pt2WI
Method: DFT, PBE
State: optimized geometry

**Uncorrected formation energy**: 0.937 eV per atom
**Raw total energy**: -22.839 eV per cell
**Volume**: 74.1 Å³/f.u.
**Theoretical density**: 15.7 g/cm3
**Energy above the lowest structure with this stoichiometry**: 0.305 eV per atom

a b c (Å): 4.7137 4.7137 4.7137
angles (deg): 60.00 60.00 60.00
Last column: nearest neighbours and their distance in Å.
Positions (direct):
1 I 0.0000 0.0000 0.0000  8 Pt 2.89
2 Pt 0.2500 0.2500 0.2500  4 W 2.89, 4 I 2.89
3 Pt 0.7500 0.7500 0.7500  4 W 2.89, 4 I 2.89
4 W 0.5000 0.5000 0.5000  8 Pt 2.89